No. 1
The following is a meta-GGA SCAN calculation of a PBEsol-optimized structure of TlInCoIr2, from Alexandria via LeMat-Bulk.

ΔH_f (0 K) = 0.98 eV/atom

```
data_TlInCoIr2
_chemical_formula_sum 'Tl1 In1 Co1 Ir2'
_cell_length_a 4.5347
_cell_length_b 4.5347
_cell_length_c 4.6647
_cell_angle_alpha 90.00
_cell_angle_beta 90.00
_cell_angle_gamma 90.00
_symmetry_space_group_name_H-M 'P 4/m m m'
_symmetry_Int_Tables_number 123
_symmetry_space_group_name_Hall '-P 4 2'
loop_
_atom_site_label
_atom_site_type_symbol
_atom_site_fract_x
_atom_site_fract_y
_atom_site_fract_z
Tl1 Tl 0.0000 0.0000 0.0000
In1 In 0.5000 0.5000 0.0000
Co1 Co 0.5000 0.5000 0.5000
Ir1 Ir 0.0000 0.5000 0.5000
```

=====

No. 2
The following is a meta-GGA SCAN calculation of a PBEsol-optimized structure of KIn2Co, from Alexandria via LeMat-Bulk.

ΔH_f (0 K) = 0.20 eV/atom

```
data_KIn2Co
_chemical_formula_sum 'K3 In6 Co3'
_cell_length_a 4.3285
_cell_length_b 4.3285
_cell_length_c 19.5959
_cell_angle_alpha 90.00
_cell_angle_beta 90.00
_cell_angle_gamma 120.00
_symmetry_space_group_name_H-M 'R -3 m'
_symmetry_Int_Tables_number 166
_symmetry_space_group_name_Hall '-R 3 2"'
loop_
_atom_site_label
_atom_site_type_symbol
_atom_site_fract_x
_atom_site_fract_y
_atom_site_fract_z
K1 K 0.0000 0.0000 0.0000
In1 In 0.0000 0.0000 0.2058
Co1 Co 0.0000 0.0000 0.5000
```

=====

No. 3
The following is a meta-GGA SCAN calculation of a PBEsol-optimized structure of K3InCo, from Alexandria via LeMat-Bulk.

ΔH_f (0 K) = 0.88 eV/atom

```
data_K3InCo
_chemical_formula_sum 'K3 In1 Co1'
_cell_length_a 6.5314
_cell_length_b 6.5314
_cell_length_c 6.5314
_cell_angle_alpha 90.00
_cell_angle_beta 90.00
_cell_angle_gamma 90.00
_symmetry_space_group_name_H-M 'P m -3 m'
_symmetry_Int_Tables_number 221
_symmetry_space_group_name_Hall '-P 4 2 3'
loop_
_atom_site_label
_atom_site_type_symbol
_atom_site_fract_x
_atom_site_fract_y
_atom_site_fract_z
K1 K 0.0000 0.0000 0.5000
In1 In 0.0000 0.0000 0.0000
Co1 Co 0.5000 0.5000 0.5000
```

=====

No. 4
The following is a meta-GGA SCAN calculation of a PBEsol-optimized structure of LaIn4Co, from Alexandria via LeMat-Bulk.

ΔH_f (0 K) = 0.06 eV/atom

```
data_LaIn4Co
_chemical_formula_sum 'La4 In16 Co4'
_cell_length_a 8.3225
_cell_length_b 8.3225
_cell_length_c 8.3225
_cell_angle_alpha 90.00
_cell_angle_beta 90.00
_cell_angle_gamma 90.00
_symmetry_space_group_name_H-M 'F -4 3 m'
_symmetry_Int_Tables_number 216
_symmetry_space_group_name_Hall 'F -4 2 3'
loop_
_atom_site_label
_atom_site_type_symbol
_atom_site_fract_x
_atom_site_fract_y
_atom_site_fract_z
La1 La 0.0000 0.0000 0.0000
In1 In 0.1246 0.1246 0.3754
Co1 Co 0.2500 0.2500 0.7500
```

=====

Please write out number 4 again, unchanged.
The following is a meta-GGA SCAN calculation of a PBEsol-optimized structure of LaIn4Co, from Alexandria via LeMat-Bulk.

ΔH_f (0 K) = 0.06 eV/atom

```
data_LaIn4Co
_chemical_formula_sum 'La4 In16 Co4'
_cell_length_a 8.3225
_cell_length_b 8.3225
_cell_length_c 8.3225
_cell_angle_alpha 90.00
_cell_angle_beta 90.00
_cell_angle_gamma 90.00
_symmetry_space_group_name_H-M 'F -4 3 m'
_symmetry_Int_Tables_number 216
_symmetry_space_group_name_Hall 'F -4 2 3'
loop_
_atom_site_label
_atom_site_type_symbol
_atom_site_fract_x
_atom_site_fract_y
_atom_site_fract_z
La1 La 0.0000 0.0000 0.0000
In1 In 0.1246 0.1246 0.3754
Co1 Co 0.2500 0.2500 0.7500
```